VASP calculation (GGA-PBE) on an optimized crystal structure of HoTmAg2Te4.

a b c (Å): 4.379 7.579 7.447
angles (deg): 109.66 90.00 90.00
Element x y z (fractional)
Tm 0.000 0.000 0.000
Ag 0.500 0.000 0.500
Ag 0.000 0.500 0.500
Te 0.500 0.248 0.251
Te 0.000 0.249 0.748
Te 0.000 0.751 0.252
Te 0.500 0.752 0.749
Ho 0.500 0.500 0.000

Calculated values
The value obtained for the total moment is 0.0 μB/cell. As for the raw formation energy: -817 meV/atom. As for the final energy: -4.23 eV/atom.